# NaCuBr2

Crystalline NaCuBr2 at its relaxed geometry (PBE-GGA, the Alexandria database).

```
NaCuBr2
1.0
-0.944 -3.081 3.220
1.959 -4.111 -0.136
6.005 0.166 5.143
Br Cu Na
2 1 1
direct
0.100 0.100 0.699
0.900 0.900 0.301
0.000 0.000 0.000
0.500 0.500 0.500
```

The value obtained for the excess energy over the best structure of this formula in the dataset is 0.0080 eV/atom. The total energy is -3.05 eV/atom. Its symmetry is R-3m. Its theoretical density is 3.05 g/cm3. The calculation puts the uncorrected formation energy at -3.5 eV/f.u.